Record 1
Density functional theory data (PBE-GGA) for an optimized crystal structure of Co2SbPt.

Cell lengths 3.832, 3.832, 18.134 Å; angles 90.00, 90.00, 90.00 degrees
Space group I-42d (No. 122)
One atom of each set of equivalent atoms:
Co 0.193 0.250 0.125
Sb 0.000 0.000 0.500
Pt 0.000 0.000 0.000

E_tot ... -23.18 eV/f.u.
Formation energy (no corrections) ... 298 meV/atom
Total magnetization ... 3.00 μB per formula unit

=====

Record 2
Density functional theory data (PBE-GGA) for an optimized crystal structure of Ce5MgTl8.

Cell lengths 9.529, 9.529, 9.279 Å; angles 90.00, 90.00, 90.00 degrees
Space group I-4 (No. 82)
One atom of each set of equivalent atoms:
Ce 0.000 0.000 0.000
Ce 0.114 0.252 0.361
Mg 0.000 0.500 0.750
Tl 0.078 0.336 0.019
Tl 0.079 0.182 0.704

E_form ... -0.109 eV/atom
E_tot ... -51.71 eV/f.u.
Total magnetization ... 5.78 μB per formula unit